1.
GaSI | the Alexandria database | PBE-GGA | relaxed; space group = C2/m (12)
1.0
3.854 0.000 0.000
0.000 7.408 -0.307
-1.927 -1.532 7.571
Ga S I
2 2 2
direct
0.679 0.557 0.358 Ga
0.321 0.443 0.642 Ga
0.163 0.364 0.326 S
0.837 0.636 0.674 S
0.597 0.810 0.194 I
0.403 0.190 0.806 I



2.
GaSI3 | the Alexandria database | PBE-GGA | relaxed; density of states at the Fermi level = 5.9 states/eV/f.u.; space group = Pm-3m (221)
1.0
5.667 0.000 0.000
0.000 5.667 0.000
0.000 0.000 5.667
I S Ga
3 1 1
direct
0.000 0.500 0.000 I
0.000 0.000 0.500 I
0.500 0.000 0.000 I
0.500 0.500 0.500 S
0.000 0.000 0.000 Ga



3.
GaSI3 | the Alexandria database | PBE-GGA | relaxed; density of states at the Fermi level = 1.0 states/eV/f.u.; space group = Pm-3m (221)
1.0
5.620 0.000 0.000
0.000 5.620 0.000
0.000 0.000 5.620
I S Ga
3 1 1
direct
0.000 0.500 0.000 I
0.000 0.000 0.500 I
0.500 0.000 0.000 I
0.000 0.000 0.000 S
0.500 0.500 0.500 Ga



4.
GaS2I | the Alexandria database | PBE-GGA | relaxed; density of states at the Fermi level = 0.7 states/eV/f.u.; space group = R-3m (166)
1.0
-5.993 -4.987 -2.244
-3.290 -7.349 -0.997
-5.625 -5.657 1.477
I S Ga
1 2 1
direct
0.000 0.000 0.000 I
0.887 0.887 0.887 S
0.113 0.113 0.113 S
0.500 0.500 0.500 Ga



5.
Ga2S3I | the Alexandria database | PBE-GGA | relaxed; density of states at the Fermi level = 7.7 states/eV/f.u.; space group = R-3m (166)
1.0
-0.650 4.619 5.349
3.058 -1.364 6.258
6.739 4.434 1.699
Ga S I
4 6 2
direct
0.000 0.000 0.000 Ga
0.000 0.500 0.000 Ga
0.500 0.500 0.000 Ga
0.500 0.000 0.000 Ga
0.285 0.766 0.184 S
0.766 0.285 0.184 S
0.766 0.766 0.184 S
0.234 0.715 0.816 S
0.715 0.234 0.816 S
0.234 0.234 0.816 S
0.766 0.766 0.703 I
0.234 0.234 0.297 I



6.
Ga4S5I2 | the Alexandria database | PBE-GGA | relaxed; space group = C2/m (12)
1.0
7.703 1.203 1.353
-4.962 4.353 -4.364
3.755 -0.912 9.614
Ga S I
4 5 2
direct
0.383 0.348 0.731 Ga
0.617 0.652 0.269 Ga
0.245 0.863 0.109 Ga
0.755 0.137 0.891 Ga
0.397 0.146 0.019 S
0.603 0.854 0.981 S
0.500 0.000 0.500 S
0.873 0.622 0.019 S
0.127 0.378 0.981 S
0.211 0.316 0.527 I
0.789 0.684 0.473 I



7.
GaS2I | the Alexandria database | PBE-GGA | relaxed; density of states at the Fermi level = 3.9 states/eV/f.u.; space group = R-3m (166)
1.0
2.035 0.000 11.513
-1.017 1.762 11.513
-1.017 -1.762 11.513
I S Ga
1 2 1
direct
0.500 0.500 0.500 I
0.940 0.940 0.940 S
0.060 0.060 0.060 S
0.000 0.000 0.000 Ga



8.
GaS4I | the Alexandria database | PBE-GGA | relaxed; density of states at the Fermi level = 0.1 states/eV/f.u.; space group = C2/c (15)
1.0
6.937 1.048 0.758
2.520 3.548 1.360
0.231 -4.355 18.580
Ga S I
2 8 2
direct
0.750 0.838 0.325 Ga
0.250 0.162 0.675 Ga
0.091 0.604 0.394 S
0.176 0.757 0.040 S
0.591 0.998 0.606 S
0.676 0.797 0.960 S
0.909 0.396 0.606 S
0.409 0.002 0.394 S
0.824 0.243 0.960 S
0.324 0.203 0.040 S
0.750 0.382 0.235 I
0.250 0.618 0.765 I



no.,final energy (eV/f.u.),formation energy from raw total energies (kJ per mole of atoms)
1,-10.38,-54
2,-9.70,41
3,-11.26,10
4,-13.62,-19
5,-21.71,-28
6,-39.80,-35
7,-11.14,41
8,-21.27,-3